(1)
The following is a DFT calculation (PBE-GGA) of Pr2Tl2Ag15 after structural relaxation.

Calculated values
- energy of formation (eV/atom) = -0.06
- symmetry = R-3m

abc: 7.421 7.421 7.421
angles: 83.24 83.24 83.24
Element x y z (fractional)
1 Pr 0.351 0.351 0.351
2 Pr 0.649 0.649 0.649
3 Tl 0.107 0.107 0.107
4 Tl 0.893 0.893 0.893
5 Ag 0.500 0.000 0.000
6 Ag 0.000 0.000 0.500
7 Ag 0.000 0.500 0.000
8 Ag 0.000 0.686 0.314
9 Ag 0.686 0.314 0.000
10 Ag 0.314 0.000 0.686
11 Ag 0.314 0.686 0.000
12 Ag 0.686 0.000 0.314
13 Ag 0.000 0.314 0.686
14 Ag 0.165 0.649 0.649
15 Ag 0.649 0.649 0.165
16 Ag 0.649 0.165 0.649
17 Ag 0.835 0.351 0.351
18 Ag 0.351 0.351 0.835
19 Ag 0.351 0.835 0.351

***

(2)
The following is a DFT calculation (PBE-GGA) of PPdO4 after structural relaxation.

Calculated values
- formation energy (no corrections) (eV/atom) = -1.107
- symmetry = I-4

abc: 5.140 5.140 5.385
angles: 118.51 118.51 90.00
Last column: magnetic moment on the atom in μB.
Element x y z (fractional)
1 P 0.250 0.750 0.500  0.00
2 Pd 0.500 0.500 0.000  1.59
3 O 0.344 0.489 0.286  0.28
4 O 0.942 0.798 0.286  0.28
5 O 0.511 0.058 0.714  0.28
6 O 0.202 0.656 0.714  0.28

***

(3)
The following is a DFT calculation (PBE-GGA) of HoSc2S after structural relaxation.

Calculated values
- formation energy (no corrections) (eV/atom) = -0.705
- symmetry = R-3m

abc: 3.483 3.483 9.570
angles: 79.51 79.51 60.00
Last column: magnetic moment on the atom in μB.
Element x y z (fractional)
1 Sc 0.113 0.113 0.660  0.02
2 Sc 0.887 0.887 0.340  0.02
3 S 0.500 0.500 0.500  0.00
4 Ho 0.000 0.000 0.000  0.14

***

(4)
The following is a DFT calculation (PBE-GGA) of Al2ZnBr after structural relaxation.

Calculated values
- formation energy (no corrections) (eV/atom) = 0.256
- symmetry = I-4m2

abc: 5.896 5.896 5.896
angles: 138.95 138.95 59.45
Element x y z (fractional)
1 Zn 0.750 0.250 0.500
2 Al 0.000 0.000 0.000
3 Al 0.250 0.750 0.500
4 Br 0.500 0.500 0.000

***

Number 1: E -3.06 eV per atom. Number 2: E -6.18 eV per atom. Number 3: E -6.05 eV per atom. Number 4: E -2.35 eV per atom.